InFeBr2 after structural relaxation, computed with PBE.

formation energy from raw total energies: -155 meV per atom
ΔE to the lowest computed polymorph: 6.3 kJ per mole of atoms
E: -3.792 eV per atom

Unit cell a=5.4698 b=3.6171 c=7.1984 alpha=90.00 beta=112.16 gamma=90.00
Closest atoms and distances in Å follow each position.
Atoms (fractional coordinates):
In: 0.0000 0.0000 0.0000  2 Fe 2.73
Fe: 0.5000 0.0000 0.0000  4 Br 2.54, 2 In 2.73
Br: 0.3667 0.5000 0.7322  2 Fe 2.54
Br: 0.6333 0.5000 0.2678  2 Fe 2.54

***

InFeBr5 after structural relaxation, computed with PBE.

formation energy from raw total energies: -586 meV per atom
E: -3.381 eV per atom

Unit cell a=7.3741 b=7.3741 c=10.4471 alpha=111.10 beta=111.10 gamma=88.51
Closest atoms and distances in Å follow each position.
Atoms (fractional coordinates):
In: 0.0000 0.5000 0.0000  6 Br 2.76-2.79
In: 0.5000 0.0000 0.5000  6 Br 2.76-2.79
Fe: 0.1304 0.8696 0.7500  4 Br 2.40-2.41
Fe: 0.8696 0.1304 0.2500  4 Br 2.40-2.41
Br: 0.1691 0.1981 0.4608  1 Fe 2.40
Br: 0.1762 0.6033 0.8360  1 Fe 2.41
Br: 0.1981 0.1691 0.9608  1 Fe 2.40
Br: 0.3331 0.6669 0.2500  2 In 2.76
Br: 0.3967 0.8238 0.6640  1 Fe 2.41
Br: 0.6033 0.1762 0.3360  1 Fe 2.41
Br: 0.6669 0.3331 0.7500  2 In 2.76
Br: 0.8019 0.8309 0.0392  1 Fe 2.40
Br: 0.8238 0.3967 0.1640  1 Fe 2.41
Br: 0.8309 0.8019 0.5392  1 Fe 2.40

***

InFe2Br after structural relaxation, computed with PBE.

formation energy from raw total energies: 356 meV per atom
ΔE to the lowest computed polymorph: 15.1 kJ per mole of atoms
E: -4.978 eV per atom

Unit cell a=6.3655 b=6.3655 c=6.3655 alpha=151.43 beta=138.95 gamma=50.78
Closest atoms and distances in Å follow each position.
Atoms (fractional coordinates):
In: 0.0000 0.0000 0.0000  6 Fe 2.68-2.75
Fe: 0.4730 0.4730 0.0000  2 Fe 2.39
Fe: 0.6296 0.1296 0.5000  2 Fe 2.39
Br: 0.2747 0.7747 0.5000  2 Fe 2.77

***

InFe2Br after structural relaxation, computed with PBE.

formation energy from raw total energies: 759 meV per atom
ΔE to the lowest computed polymorph: 54.0 kJ per mole of atoms
E: -4.575 eV per atom

Unit cell a=4.6350 b=4.6350 c=4.6350 alpha=60.00 beta=60.00 gamma=60.00
Closest atoms and distances in Å follow each position.
Atoms (fractional coordinates):
In: 0.0000 0.0000 0.0000  8 Fe 2.84
Fe: 0.2500 0.2500 0.2500  4 In 2.84, 4 Br 2.84
Fe: 0.7500 0.7500 0.7500  4 In 2.84, 4 Br 2.84
Br: 0.5000 0.5000 0.5000  8 Fe 2.84

***

In2FeBr after structural relaxation, computed with PBE.

formation energy from raw total energies: 186 meV per atom
ΔE to the lowest computed polymorph: 11.8 kJ per mole of atoms
E: -3.718 eV per atom

Unit cell a=6.8802 b=6.8802 c=3.2730 alpha=90.00 beta=90.00 gamma=139.50
Closest atoms and distances in Å follow each position.
Atoms (fractional coordinates):
In: 0.1741 0.8259 0.0000  2 Fe 2.78, 2 In 3.08
In: 0.8259 0.1741 0.0000  2 Fe 2.78, 2 In 3.08
Fe: 0.0000 0.0000 0.5000  2 Br 2.38
Br: 0.5000 0.5000 0.5000  2 Fe 2.38

***

InFe3Br9 after structural relaxation, computed with PBE.

formation energy from raw total energies: -493 meV per atom
E: -3.814 eV per atom

Unit cell a=11.0242 b=11.0242 c=14.1009 alpha=127.20 beta=127.20 gamma=53.47
Closest atoms and distances in Å follow each position.
Atoms (fractional coordinates):
In: 0.2211 0.7789 0.5000  6 Br 3.20-3.44
In: 0.7789 0.2211 0.0000  6 Br 3.20-3.44
Fe: 0.1471 0.3508 0.7701  4 Br 2.32-2.49
Fe: 0.3508 0.1471 0.2701  4 Br 2.32-2.49
Fe: 0.5421 0.7173 0.3079  4 Br 2.33-2.48
Fe: 0.7173 0.5421 0.8079  4 Br 2.33-2.48
Fe: 0.7287 0.9306 0.1476  4 Br 2.33-2.47
Fe: 0.9306 0.7287 0.6476  4 Br 2.33-2.47
Br: 0.0192 0.1809 0.5701  1 Fe 2.32
Br: 0.0258 0.8765 0.6558  1 Fe 2.33
Br: 0.1791 0.5327 0.7466  2 Fe 2.46-2.47
Br: 0.1809 0.0192 0.0701  1 Fe 2.32
Br: 0.2082 0.4074 0.3851  1 Fe 2.33
Br: 0.3303 0.7032 0.2968  1 Fe 2.34
Br: 0.4074 0.2082 0.8851  1 Fe 2.33
Br: 0.5297 0.9986 0.4173  2 Fe 2.45-2.49
Br: 0.5327 0.1791 0.2466  2 Fe 2.46-2.47
Br: 0.5427 0.6027 0.1052  1 Fe 2.33
Br: 0.5508 0.8062 0.9280  2 Fe 2.46-2.48
Br: 0.6027 0.5427 0.6052  1 Fe 2.33
Br: 0.7032 0.3303 0.7968  1 Fe 2.34
Br: 0.7494 0.8909 0.7515  1 Fe 2.34
Br: 0.8062 0.5508 0.4280  2 Fe 2.46-2.48
Br: 0.8765 0.0258 0.1558  1 Fe 2.33
Br: 0.8909 0.7494 0.2515  1 Fe 2.34
Br: 0.9986 0.5297 0.9173  2 Fe 2.45-2.49

***

What is the formula in the fourth record? InFe2Br

***

Among the records above, which one has the highest E? InFeBr5

***

The highest formation energy from raw total energies belongs to which entry? number 4